[1]
Density functional theory data (PBE-GGA) for Nd5DyTl after structural relaxation.

Properties
Energy relative to the elements   164 meV/atom
V   35.15 Å³ per atom
Symmetry   P4/mmm, No. 123

Unit cell a=4.851 b=4.851 c=10.459 alpha=90.00 beta=90.00 gamma=90.00
Atoms (fractional coordinates):
Nd: 0.500 0.500 0.000
Nd: 0.500 0.000 0.245
Nd: 0.000 0.500 0.245
Nd: 0.500 0.000 0.755
Nd: 0.000 0.500 0.755
Dy: 0.000 0.000 0.500
Tl: 0.000 0.000 0.000

---

[2]
Density functional theory data (PBE-GGA) for NdDy4Tl after structural relaxation.

Properties
Energy relative to the elements   -104 meV/atom
V   31.03 Å³ per atom
Symmetry   P4/mmm, No. 123
Relative energy among the computed polymorphs   0.0 meV per atom

Unit cell a=3.610 b=3.610 c=14.286 alpha=90.00 beta=90.00 gamma=90.00
Atoms (fractional coordinates):
Nd: 0.000 0.000 0.000
Dy: 0.500 0.500 0.179
Dy: 0.000 0.000 0.648
Dy: 0.000 0.000 0.352
Dy: 0.500 0.500 0.821
Tl: 0.500 0.500 0.500

---

[3]
Density functional theory data (PBE-GGA) for Nd2Dy3Tl3 after structural relaxation.

Properties
Energy relative to the elements   -246 meV/atom
V   29.07 Å³ per atom
Symmetry   Pmmm, No. 47
Relative energy among the computed polymorphs   2.9 meV per atom

Unit cell a=4.971 b=5.055 c=9.255 alpha=90.00 beta=90.00 gamma=90.00
Atoms (fractional coordinates):
Nd: 0.000 0.000 0.744
Nd: 0.000 0.000 0.256
Dy: 0.500 0.500 0.731
Dy: 0.500 0.500 0.269
Dy: 0.500 0.000 0.000
Tl: 0.500 0.000 0.500
Tl: 0.000 0.500 0.000
Tl: 0.000 0.500 0.500

---

[4]
Density functional theory data (PBE-GGA) for Nd6DyTl after structural relaxation.

Properties
Energy relative to the elements   -87 meV/atom
V   32.82 Å³ per atom
Symmetry   P4/mmm, No. 123

Unit cell a=5.033 b=5.033 c=10.368 alpha=90.00 beta=90.00 gamma=90.00
Atoms (fractional coordinates):
Nd: 0.500 0.500 0.000
Nd: 0.500 0.500 0.500
Nd: 0.500 0.000 0.244
Nd: 0.500 0.000 0.756
Nd: 0.000 0.500 0.244
Nd: 0.000 0.500 0.756
Dy: 0.000 0.000 0.500
Tl: 0.000 0.000 0.000

---

[5]
Density functional theory data (PBE-GGA) for Nd4Dy4Tl after structural relaxation.

Properties
Energy relative to the elements   -39 meV/atom
V   32.14 Å³ per atom
Symmetry   I4/mmm, No. 139

Unit cell a=4.943 b=8.039 c=8.039 alpha=84.58 beta=72.10 gamma=72.10
Atoms (fractional coordinates):
Nd: 0.662 0.676 0.000
Nd: 0.338 0.324 0.000
Nd: 0.662 0.000 0.676
Nd: 0.338 0.000 0.324
Dy: 0.663 0.337 0.337
Dy: 0.337 0.663 0.663
Dy: 0.000 0.663 0.337
Dy: 0.000 0.337 0.663
Tl: 0.000 0.000 0.000

---

[6]
Density functional theory data (PBE-GGA) for NdDy6Tl2 after structural relaxation.

Properties
Energy relative to the elements   532 meV/atom
V   37.15 Å³ per atom
Symmetry   I-42m, No. 121
Relative energy among the computed polymorphs   674.4 meV per atom

Unit cell a=5.639 b=5.639 c=11.243 alpha=104.53 beta=104.53 gamma=90.00
Atoms (fractional coordinates):
Nd: 0.500 0.500 0.000
Dy: 0.873 0.261 0.134
Dy: 0.739 0.739 0.866
Dy: 0.261 0.873 0.134
Dy: 0.127 0.127 0.866
Dy: 0.750 0.250 0.500
Dy: 0.250 0.750 0.500
Tl: 0.191 0.191 0.382
Tl: 0.809 0.809 0.618

---

[7]
Density functional theory data (PBE-GGA) for Nd2DyTl3 after structural relaxation.

Properties
Energy relative to the elements   -379 meV/atom
V   28.97 Å³ per atom
Symmetry   P4/mmm, No. 123
Relative energy among the computed polymorphs   0.0 meV per atom

Unit cell a=3.831 b=3.831 c=11.842 alpha=90.00 beta=90.00 gamma=90.00
Atoms (fractional coordinates):
Nd: 0.500 0.500 0.829
Nd: 0.500 0.500 0.171
Dy: 0.500 0.500 0.500
Tl: 0.000 0.000 0.000
Tl: 0.000 0.000 0.656
Tl: 0.000 0.000 0.344

---

[8]
Density functional theory data (PBE-GGA) for Nd4DyTl2 after structural relaxation.

Properties
Energy relative to the elements   24 meV/atom
V   35.16 Å³ per atom
Symmetry   R-3m, No. 166
Relative energy among the computed polymorphs   0.0 meV per atom

Unit cell a=5.611 b=5.611 c=9.589 alpha=72.99 beta=72.99 gamma=60.00
Atoms (fractional coordinates):
Nd: 0.732 0.732 0.804
Nd: 0.869 0.869 0.392
Nd: 0.268 0.268 0.196
Nd: 0.131 0.131 0.608
Dy: 0.500 0.500 0.500
Tl: 0.614 0.614 0.158
Tl: 0.386 0.386 0.842

---

[9]
Density functional theory data (PBE-GGA) for NdDy6Tl5 after structural relaxation.

Properties
Energy relative to the elements   -167 meV/atom
V   29.53 Å³ per atom
Symmetry   C2/m, No. 12
Relative energy among the computed polymorphs   105.6 meV per atom

Unit cell a=10.534 b=6.284 c=6.306 alpha=60.11 beta=84.20 gamma=78.30
Site moments in Bohr magnetons follow the coordinates.
Atoms (fractional coordinates):
Nd: 0.000 0.000 0.000  0.33
Dy: 0.741 0.086 0.349  0.10
Dy: 0.259 0.565 0.349  0.10
Dy: 0.257 0.263 0.000  0.11
Dy: 0.743 0.737 0.000  0.11
Dy: 0.741 0.435 0.651  0.10
Dy: 0.259 0.914 0.651  0.10
Tl: 0.500 0.162 0.675  0.00
Tl: 0.000 0.332 0.336  0.01
Tl: 0.500 0.500 0.000  0.00
Tl: 0.000 0.668 0.664  0.01
Tl: 0.500 0.838 0.325  0.00

---

[10]
Density functional theory data (PBE-GGA) for Nd15DyTl4 after structural relaxation.

Properties
Energy relative to the elements   -156 meV/atom
V   31.92 Å³ per atom
Symmetry   P4/mmm, No. 123

Unit cell a=4.997 b=4.997 c=25.564 alpha=90.00 beta=90.00 gamma=90.00
Atoms (fractional coordinates):
Nd: 0.500 0.500 0.000
Nd: 0.500 0.500 0.204
Nd: 0.500 0.500 0.402
Nd: 0.500 0.500 0.598
Nd: 0.500 0.500 0.796
Nd: 0.500 0.000 0.105
Nd: 0.500 0.000 0.303
Nd: 0.500 0.000 0.500
Nd: 0.500 0.000 0.697
Nd: 0.500 0.000 0.895
Nd: 0.000 0.500 0.105
Nd: 0.000 0.500 0.303
Nd: 0.000 0.500 0.500
Nd: 0.000 0.500 0.697
Nd: 0.000 0.500 0.895
Dy: 0.000 0.000 0.000
Tl: 0.000 0.000 0.206
Tl: 0.000 0.000 0.402
Tl: 0.000 0.000 0.598
Tl: 0.000 0.000 0.794

---

[11]
Density functional theory data (PBE-GGA) for NdDy2Tl3 after structural relaxation.

Properties
Energy relative to the elements   -363 meV/atom
V   28.12 Å³ per atom
Symmetry   P4/mmm, No. 123

Unit cell a=3.793 b=3.793 c=11.729 alpha=90.00 beta=90.00 gamma=90.00
Atoms (fractional coordinates):
Nd: 0.500 0.500 0.500
Dy: 0.500 0.500 0.838
Dy: 0.500 0.500 0.162
Tl: 0.000 0.000 0.000
Tl: 0.000 0.000 0.677
Tl: 0.000 0.000 0.323

---

Which of these has the lowest V?
NdDy2Tl3

---

V of number 11 (NdDy2Tl3)?
28.12 Å³ per atom

---

V of number 4 (Nd6DyTl)?
32.82 Å³ per atom

---

energy relative to the elements of number 1 (Nd5DyTl)?
164 meV/atom